[1]
A plane-wave DFT calculation with PBE was carried out for a relaxed AlAsIr2 crystal.

Output
Formation enthalpy at 0 K   -2 kJ/mol of atoms
Total moment   0.00 μB per formula unit
Energy relative to the lowest polymorph listed for this composition   28.6 kJ/mol of atoms

abc: 2.9241 4.2495 4.9764
angles: 90.00 91.87 90.00
Space group P2/m (No. 10)
Unique sites:
1 Al 0.0000 0.0000 0.0000 (multiplicity 1)
2 As 0.5000 0.0000 0.5000 (multiplicity 1)
3 Ir 0.2808 0.5000 0.2433 (multiplicity 2)


[2]
A plane-wave DFT calculation with PBE was carried out for a relaxed Sm4Er4Th crystal.

Output
Formation enthalpy at 0 K   3 kJ/mol of atoms
Total moment   0.00 μB per formula unit
Energy relative to the lowest polymorph listed for this composition   0.0 kJ/mol of atoms

abc: 10.7296 10.7296 5.0349
angles: 90.00 90.00 90.00
Space group I4/mmm (No. 139)
Unique sites:
1 Sm 0.0000 0.3295 0.0000 (multiplicity 8)
2 Er 0.1641 0.1641 0.5000 (multiplicity 8)
3 Th 0.0000 0.0000 0.0000 (multiplicity 2)


[3]
A plane-wave DFT calculation with PBE was carried out for a relaxed Pu2HCl3 crystal.

Output
Total moment   12.02 μB per formula unit
Energy   -0.2819 hartree per atom

abc: 15.4902 4.0186 10.4114
angles: 90.00 117.01 90.00
Space group C2/m (No. 12)
Unique sites:
1 Pu 0.0944 0.0000 0.4512 (multiplicity 4)
2 Pu 0.1432 0.5000 0.8056 (multiplicity 4)
3 H 0.0772 0.0000 0.6633 (multiplicity 4)
4 Cl 0.0496 0.5000 0.2408 (multiplicity 4)
5 Cl 0.1539 0.0000 0.0033 (multiplicity 4)
6 Cl 0.2308 0.5000 0.6207 (multiplicity 4)


[4]
A plane-wave DFT calculation with PBE was carried out for a relaxed Ac2AgN crystal.

Output
Raw formation energy   -0.160 eV/atom
Total moment   0.00 μB per formula unit
Energy relative to the lowest polymorph listed for this composition   48.6 kJ/mol of atoms

abc: 3.4864 3.4864 7.8196
angles: 90.00 90.00 90.00
Space group P4/mmm (No. 123)
Unique sites:
1 Ac 0.0000 0.0000 0.2031 (multiplicity 2)
2 Ag 0.5000 0.5000 0.5000 (multiplicity 1)
3 N 0.5000 0.5000 0.0000 (multiplicity 1)


[5]
A plane-wave DFT calculation with PBE was carried out for a relaxed LaAgBiTe2 crystal.

Output
Raw formation energy   0.251 eV/atom
Total moment   0.00 μB per formula unit

abc: 6.1064 6.1064 6.2405
angles: 90.00 90.00 90.00
Space group P4/mmm (No. 123)
Unique sites:
1 La 0.0000 0.0000 0.0000 (multiplicity 1)
2 Ag 0.5000 0.5000 0.5000 (multiplicity 1)
3 Bi 0.0000 0.0000 0.5000 (multiplicity 1)
4 Te 0.0000 0.5000 0.0000 (multiplicity 2)


[6]
A plane-wave DFT calculation with PBE was carried out for a relaxed Se2SBrCl crystal.

Output
Raw formation energy   0.620 eV/atom
Total moment   0.00 μB per formula unit
Energy relative to the lowest polymorph listed for this composition   0.0 kJ/mol of atoms

abc: 4.9530 4.9530 5.0334
angles: 90.00 90.00 90.00
Space group P4/mmm (No. 123)
Unique sites:
1 Se 0.0000 0.5000 0.0000 (multiplicity 2)
2 S 0.0000 0.0000 0.0000 (multiplicity 1)
3 Br 0.0000 0.0000 0.5000 (multiplicity 1)
4 Cl 0.5000 0.5000 0.5000 (multiplicity 1)


[7]
A plane-wave DFT calculation with PBE was carried out for a relaxed Pm4Pr10Sm crystal.

Output
Formation enthalpy at 0 K   49 kJ/mol of atoms
Total moment   0.00 μB per formula unit

abc: 12.9665 12.9665 6.9379
angles: 90.00 90.00 90.00
Space group I4/m (No. 87)
Unique sites:
1 Pm 0.0664 0.8243 0.0000 (multiplicity 8)
2 Pr 0.0000 0.5000 0.2500 (multiplicity 4)
3 Pr 0.1281 0.2901 0.2550 (multiplicity 16)
4 Sm 0.0000 0.0000 0.5000 (multiplicity 2)


[8]
A plane-wave DFT calculation with PBE was carried out for a relaxed Sm2MnP3Rh4 crystal.

Output
Formation enthalpy at 0 K   -93 kJ/mol of atoms
Total moment   3.43 μB per formula unit

abc: 4.0664 4.0664 10.0565
angles: 90.00 90.00 90.00
Space group P-4m2 (No. 115)
Unique sites:
1 Sm 0.0000 0.5000 0.2502 (multiplicity 2)
2 Mn 0.0000 0.0000 0.5000 (multiplicity 1)
3 P 0.0000 0.5000 0.8642 (multiplicity 2)
4 P 0.5000 0.5000 0.5000 (multiplicity 1)
5 Rh 0.0000 0.0000 0.0000 (multiplicity 1)
6 Rh 0.0000 0.5000 0.6351 (multiplicity 2)
7 Rh 0.5000 0.5000 0.0000 (multiplicity 1)


[9]
A plane-wave DFT calculation with PBE was carried out for a relaxed MgUGa2Ni2 crystal.

Output
Formation enthalpy at 0 K   -23 kJ/mol of atoms
Total moment   2.21 μB per formula unit

abc: 4.2210 4.2210 6.5214
angles: 90.00 90.00 120.00
Space group P-3m1 (No. 164)
Unique sites:
1 Mg 0.0000 0.0000 0.0000 (multiplicity 1)
2 U 0.0000 0.0000 0.5000 (multiplicity 1)
3 Ga 0.3333 0.6667 0.2195 (multiplicity 2)
4 Ni 0.3333 0.6667 0.7450 (multiplicity 2)


[10]
A plane-wave DFT calculation with PBE was carried out for a relaxed SrIn2Hg crystal.

Output
Formation enthalpy at 0 K   -18 kJ/mol of atoms
Total moment   0.00 μB per formula unit

abc: 4.6437 4.6437 23.4824
angles: 90.00 90.00 90.00
Space group I-42d (No. 122)
Unique sites:
1 Sr 0.0000 0.0000 0.0000 (multiplicity 4)
2 In 0.2239 0.2500 0.6250 (multiplicity 8)
3 Hg 0.0000 0.0000 0.5000 (multiplicity 4)


[11]
A plane-wave DFT calculation with PBE was carried out for a relaxed LaNd5Er2 crystal.

Output
Formation enthalpy at 0 K   1 kJ/mol of atoms
Total moment   0.00 μB per formula unit
Energy relative to the lowest polymorph listed for this composition   0.0 kJ/mol of atoms

abc: 7.2922 14.5890 5.1431
angles: 90.00 90.00 90.00
Space group Pbam (No. 55)
Unique sites:
1 La 0.0000 0.0000 0.0000 (multiplicity 2)
2 Nd 0.0000 0.5000 0.0000 (multiplicity 2)
3 Nd 0.0023 0.2510 0.0000 (multiplicity 4)
4 Nd 0.2483 0.6257 0.5000 (multiplicity 4)
5 Er 0.2488 0.8744 0.5000 (multiplicity 4)


[12]
A plane-wave DFT calculation with PBE was carried out for a relaxed Pr6GeTe3P2 crystal.

Output
Raw formation energy   -1.453 eV/atom
Total moment   0.00 μB per formula unit

abc: 19.3600 4.3403 8.9160
angles: 90.00 105.53 90.00
Space group C2/m (No. 12)
Unique sites:
1 Pr 0.0076 0.0000 0.2366 (multiplicity 4)
2 Pr 0.1610 0.5000 0.1036 (multiplicity 4)
3 Pr 0.1746 0.5000 0.5643 (multiplicity 4)
4 Ge 0.0000 0.5000 0.0000 (multiplicity 2)
5 Te 0.0000 0.5000 0.5000 (multiplicity 2)
6 Te 0.1664 0.0000 0.8324 (multiplicity 4)
7 P 0.1676 0.0000 0.3350 (multiplicity 4)


[13]
A plane-wave DFT calculation with PBE was carried out for a relaxed K4Tl4Ga crystal.

Output
Formation enthalpy at 0 K   3 kJ/mol of atoms
Total moment   0.00 μB per formula unit

abc: 7.3610 7.3610 14.7088
angles: 90.00 90.00 90.00
Space group I-42m (No. 121)
Unique sites:
1 K 0.2047 0.2047 0.3639 (multiplicity 8)
2 Tl 0.2049 0.2049 0.1170 (multiplicity 8)
3 Ga 0.0000 0.0000 0.0000 (multiplicity 2)


[14]
A plane-wave DFT calculation with PBE was carried out for a relaxed HoZnHgAu crystal.

Output
Formation enthalpy at 0 K   -46 kJ/mol of atoms
Total moment   0.00 μB per formula unit

abc: 6.9016 6.9016 6.9016
angles: 90.00 90.00 90.00
Space group F-43m (No. 216)
Unique sites:
1 Ho 0.0000 0.0000 0.0000 (multiplicity 4)
2 Zn 0.0000 0.0000 0.5000 (multiplicity 4)
3 Hg 0.2500 0.2500 0.7500 (multiplicity 4)
4 Au 0.2500 0.2500 0.2500 (multiplicity 4)


[15]
A plane-wave DFT calculation with PBE was carried out for a relaxed MgSiSnHS crystal.

Output
Total moment   0.00 μB per formula unit
Energy relative to the lowest polymorph listed for this composition   2.8 kJ/mol of atoms

abc: 6.9047 4.2185 7.2477
angles: 90.00 96.73 90.00
Space group Cm (No. 8)
Unique sites:
1 Mg 0.0000 0.0000 0.0000 (multiplicity 2)
2 Si 0.0355 0.5000 0.4026 (multiplicity 2)
3 Sn 0.0150 0.0000 0.6101 (multiplicity 2)
4 H 0.2209 0.5000 0.3129 (multiplicity 2)
5 S 0.3578 0.0000 0.1090 (multiplicity 2)


[16]
A plane-wave DFT calculation with PBE was carried out for a relaxed Nb3GePb crystal.

Output
Formation enthalpy at 0 K   74 kJ/mol of atoms
Total moment   0.00 μB per formula unit
Energy relative to the lowest polymorph listed for this composition   0.0 kJ/mol of atoms

abc: 4.8195 4.8195 4.8195
angles: 90.00 90.00 90.00
Space group Pm-3m (No. 221)
Unique sites:
1 Nb 0.0000 0.0000 0.5000 (multiplicity 3)
2 Ge 0.0000 0.0000 0.0000 (multiplicity 1)
3 Pb 0.5000 0.5000 0.5000 (multiplicity 1)


[17]
A plane-wave DFT calculation with PBE was carried out for a relaxed LiCuO crystal.

Output
Raw formation energy   -1.082 eV/atom
Total moment   0.00 μB per formula unit

abc: 2.9064 4.5305 4.9393
angles: 90.00 90.35 90.00
Space group P2/c (No. 13)
Unique sites:
1 Li 0.0000 0.0000 0.0000 (multiplicity 2)
2 Cu 0.5000 0.5000 0.0000 (multiplicity 2)
3 O 0.5000 0.1880 0.2500 (multiplicity 2)


[18]
A plane-wave DFT calculation with PBE was carried out for a relaxed Rb2ZrPdI6 crystal.

Output
Raw formation energy   -0.912 eV/atom
Total moment   0.00 μB per formula unit

abc: 8.2984 8.2984 11.7221
angles: 90.00 90.00 90.00
Space group I4/mmm (No. 139)
Unique sites:
1 Rb 0.0000 0.5000 0.2500 (multiplicity 4)
2 Zr 0.0000 0.0000 0.0000 (multiplicity 2)
3 Pd 0.0000 0.0000 0.5000 (multiplicity 2)
4 I 0.0000 0.0000 0.2481 (multiplicity 4)
5 I 0.2479 0.2479 0.0000 (multiplicity 8)


[19]
A plane-wave DFT calculation with PBE was carried out for a relaxed BaCaO2 crystal.

Output
Raw formation energy   -2.173 eV/atom
Total moment   0.00 μB per formula unit
Energy relative to the lowest polymorph listed for this composition   47.2 kJ/mol of atoms

abc: 6.3775 6.3775 6.3775
angles: 90.00 90.00 90.00
Space group Fm-3m (No. 225)
Unique sites:
1 Ba 0.0000 0.0000 0.0000 (multiplicity 4)
2 Ca 0.0000 0.0000 0.5000 (multiplicity 4)
3 O 0.2500 0.2500 0.2500 (multiplicity 8)


[20]
A plane-wave DFT calculation with PBE was carried out for a relaxed BaLiGe2Os crystal.

Output
Formation enthalpy at 0 K   -21 kJ/mol of atoms
Total moment   0.00 μB per formula unit

abc: 4.8003 4.8003 5.0375
angles: 90.00 90.00 90.00
Space group P4/mmm (No. 123)
Unique sites:
1 Ba 0.0000 0.0000 0.0000 (multiplicity 1)
2 Li 0.5000 0.5000 0.0000 (multiplicity 1)
3 Ge 0.0000 0.5000 0.5000 (multiplicity 2)
4 Os 0.5000 0.5000 0.5000 (multiplicity 1)